# 1
Density functional theory data (GGA-PBE) for CaEuGd4 after structural relaxation.

Structure (CIF):
```
data_CaEuGd4
_chemical_formula_sum 'Ca1 Eu1 Gd4'
_cell_length_a 7.937
_cell_length_b 7.937
_cell_length_c 7.937
_cell_angle_alpha 60.00
_cell_angle_beta 60.00
_cell_angle_gamma 60.00
_symmetry_space_group_name_H-M 'P 1'
_symmetry_Int_Tables_number 1
_symmetry_space_group_name_Hall 'P 1'
loop_
_atom_site_label
_atom_site_type_symbol
_atom_site_fract_x
_atom_site_fract_y
_atom_site_fract_z
Eu1 Eu 0.000 0.000 0.000
Gd1 Gd 0.799 0.400 0.400
Gd2 Gd 0.400 0.400 0.400
Gd3 Gd 0.400 0.799 0.400
Gd4 Gd 0.400 0.400 0.799
Ca1 Ca 0.250 0.250 0.250
```

- V: 354 Å³/f.u.
- ρ: 3.9 Mg/m³
- Energy of formation: 8.52 eV per formula unit
- E_tot: -10.01 eV/atom

***

# 2
Density functional theory data (GGA-PBE) for Pu4PdPt2 after structural relaxation.

Structure (CIF):
```
data_Pu4PdPt2
_chemical_formula_sum 'Pu4 Pd1 Pt2'
_cell_length_a 5.307
_cell_length_b 5.307
_cell_length_c 7.163
_cell_angle_alpha 111.74
_cell_angle_beta 111.74
_cell_angle_gamma 90.00
_symmetry_space_group_name_H-M 'P 1'
_symmetry_Int_Tables_number 1
_symmetry_space_group_name_Hall 'P 1'
loop_
_atom_site_label
_atom_site_type_symbol
_atom_site_fract_x
_atom_site_fract_y
_atom_site_fract_z
Pt1 Pt 0.370 0.370 0.739
Pu1 Pu 0.250 0.750 0.500
Pu2 Pu 0.500 0.000 0.000
Pd1 Pd 0.000 0.000 0.000
Pu3 Pu 0.750 0.250 0.500
Pt2 Pt 0.630 0.630 0.261
Pu4 Pu 0.000 0.500 0.000
```

- V: 172 Å³/f.u.
- ρ: 14.2 Mg/m³
- Energy of formation: -1.92 eV per formula unit
- E_tot: -10.93 eV/atom

***

# 3
Density functional theory data (GGA-PBE) for BaTa2Ru after structural relaxation.

Structure (CIF):
```
data_BaTa2Ru
_chemical_formula_sum 'Ba1 Ta2 Ru1'
_cell_length_a 4.963
_cell_length_b 4.963
_cell_length_c 3.192
_cell_angle_alpha 90.00
_cell_angle_beta 90.00
_cell_angle_gamma 90.00
_symmetry_space_group_name_H-M 'P 1'
_symmetry_Int_Tables_number 1
_symmetry_space_group_name_Hall 'P 1'
loop_
_atom_site_label
_atom_site_type_symbol
_atom_site_fract_x
_atom_site_fract_y
_atom_site_fract_z
Ta1 Ta 0.500 0.500 0.000
Ba1 Ba 0.500 0.000 0.500
Ru1 Ru 0.000 0.500 0.500
Ta2 Ta 0.000 0.000 0.000
```

- V: 79 Å³/f.u.
- ρ: 12.7 Mg/m³
- Energy of formation: 4.52 eV per formula unit
- E_tot: -7.59 eV/atom

***

# 4
Density functional theory data (GGA-PBE) for Sr2CaLaNi after structural relaxation.

Structure (CIF):
```
data_Sr2CaLaNi
_chemical_formula_sum 'Sr2 Ca1 La1 Ni1'
_cell_length_a 6.065
_cell_length_b 6.065
_cell_length_c 5.400
_cell_angle_alpha 90.00
_cell_angle_beta 90.00
_cell_angle_gamma 90.00
_symmetry_space_group_name_H-M 'P 1'
_symmetry_Int_Tables_number 1
_symmetry_space_group_name_Hall 'P 1'
loop_
_atom_site_label
_atom_site_type_symbol
_atom_site_fract_x
_atom_site_fract_y
_atom_site_fract_z
Ca1 Ca 0.500 0.500 0.500
Sr1 Sr 0.500 0.000 0.000
Sr2 Sr 0.000 0.500 0.000
La1 La 0.000 0.000 0.500
Ni1 Ni 0.000 0.000 0.000
```

- V: 199 Å³/f.u.
- ρ: 3.5 Mg/m³
- Energy of formation: -0.12 eV per formula unit
- E_tot: -3.24 eV/atom

***

# 5
Density functional theory data (GGA-PBE) for TbSm6Dy2Sc3 after structural relaxation.

Structure (CIF):
```
data_TbSm6Dy2Sc3
_chemical_formula_sum 'Tb1 Sm6 Dy2 Sc3'
_cell_length_a 6.121
_cell_length_b 6.121
_cell_length_c 11.504
_cell_angle_alpha 95.08
_cell_angle_beta 95.08
_cell_angle_gamma 119.98
_symmetry_space_group_name_H-M 'P 1'
_symmetry_Int_Tables_number 1
_symmetry_space_group_name_Hall 'P 1'
loop_
_atom_site_label
_atom_site_type_symbol
_atom_site_fract_x
_atom_site_fract_y
_atom_site_fract_z
Sm1 Sm 0.914 0.580 0.741
Dy1 Dy 0.333 0.667 0.000
Tb1 Tb 0.000 0.000 0.000
Sm2 Sm 0.086 0.420 0.259
Dy2 Dy 0.667 0.333 0.000
Sm3 Sm 0.580 0.914 0.741
Sc1 Sc 0.500 0.500 0.500
Sm4 Sm 0.247 0.247 0.741
Sc2 Sc 0.833 0.167 0.500
Sm5 Sm 0.420 0.086 0.259
Sm6 Sm 0.753 0.753 0.259
Sc3 Sc 0.167 0.833 0.500
```

- V: 368 Å³/f.u.
- ρ: 6.9 Mg/m³
- Energy of formation: 0.53 eV per formula unit
- E_tot: -5.05 eV/atom

***

Question: The highest ρ belongs to which entry?
Answer: Pu4PdPt2